Record 1
{
  "formula": "NaLiLa2Ti4O12",
  "functional": "PBE",
  "state": "relaxed",
  "lattice": [[-4.612, 2.750, 0.911], [-1.973, -1.598, -4.818], [-3.094, -6.475, 3.523]],
  "species": ["Na", "Li", "La", "La", "Ti", "Ti", "Ti", "Ti", "O", "O", "O", "O", "O", "O", "O", "O", "O", "O", "O", "O"],
  "frac_coords": [[0.514, 0.006, 0.784], [0.459, 0.943, 0.344], [0.011, 0.509, 0.769], [0.989, 0.489, 0.264], [0.012, 0.996, 0.025], [0.500, 0.507, 0.026], [0.506, 0.481, 0.520], [0.998, 0.997, 0.523], [0.275, 0.782, 0.543], [0.065, 0.966, 0.252], [0.224, 0.293, 0.003], [0.748, 0.253, 0.044], [0.193, 0.300, 0.503], [0.539, 0.451, 0.747], [0.464, 0.568, 0.252], [0.790, 0.702, 0.503], [0.268, 0.772, 0.952], [0.787, 0.730, 0.000], [0.953, 0.045, 0.748], [0.705, 0.211, 0.447]],
  "e_above_lowest_polymorph_kcal_per_mol_atoms": 0.000
}

***

Record 2
{
  "formula": "NaLiLa2Ti4O12",
  "functional": "PBE",
  "state": "relaxed",
  "lattice": [[7.836, 0.000, 0.000], [0.000, 7.836, 0.000], [0.000, 0.000, 3.904]],
  "species": ["Na", "Li", "La", "La", "Ti", "Ti", "Ti", "Ti", "O", "O", "O", "O", "O", "O", "O", "O", "O", "O", "O", "O"],
  "frac_coords": [[0.000, 0.000, 0.500], [0.500, 0.500, 0.000], [0.500, 0.000, 0.500], [0.000, 0.500, 0.500], [0.751, 0.751, 0.000], [0.249, 0.751, 0.000], [0.751, 0.249, 0.000], [0.249, 0.249, 0.000], [0.000, 0.730, 0.000], [0.730, 0.000, 0.000], [0.500, 0.754, 0.000], [0.270, 0.000, 0.000], [0.000, 0.270, 0.000], [0.754, 0.500, 0.000], [0.500, 0.246, 0.000], [0.246, 0.500, 0.000], [0.760, 0.760, 0.500], [0.240, 0.760, 0.500], [0.760, 0.240, 0.500], [0.240, 0.240, 0.500]],
  "e_above_lowest_polymorph_kcal_per_mol_atoms": 0.337
}